# Dy7Y2Tl2

Crystalline Dy7Y2Tl2 at its relaxed geometry (GGA-PBE, the Alexandria database).

ΔE_f: 0.074 eV per atom

Lattice parameters (Å, degrees): 9.7566 11.8933 6.5148 90.00 114.51 90.00
Space group C2/m (No. 12)
Symmetry-distinct sites (fractional):
Dy 0.0000 0.0000 0.0000 (multiplicity 2)
Dy 0.1628 0.5000 0.4636 (multiplicity 4)
Dy 0.1809 0.2423 0.1983 (multiplicity 8)
Y 0.0000 0.1381 0.5000 (multiplicity 4)
Tl 0.1740 0.5000 0.9801 (multiplicity 4)

# CaLa2In

Crystalline CaLa2In at its relaxed geometry (GGA-PBE, the Alexandria database).

ΔE_f: -0.198 eV per atom
offset from the most stable computed form: 49.6 meV/atom

Lattice parameters (Å, degrees): 3.7001 4.8151 7.3759 90.00 90.58 90.00
Space group Pm (No. 6)
Symmetry-distinct sites (fractional):
Ca 0.0000 0.0000 0.0000 (multiplicity 1)
La 0.0002 0.0000 0.4682 (multiplicity 1)
La 0.4960 0.5000 0.6935 (multiplicity 1)
In 0.5016 0.5000 0.2238 (multiplicity 1)

# Ce6Sb3TeP2

Crystalline Ce6Sb3TeP2 at its relaxed geometry (GGA-PBE, the Alexandria database).

ΔE_f (raw): -1.223 eV per atom

Lattice parameters (Å, degrees): 19.0154 4.3345 8.7778 90.00 103.52 90.00
Space group C2/m (No. 12)
Symmetry-distinct sites (fractional):
Ce 0.0111 0.0000 0.2583 (multiplicity 4)
Ce 0.1707 0.5000 0.1063 (multiplicity 4)
Ce 0.1728 0.5000 0.5689 (multiplicity 4)
Sb 0.0000 0.5000 0.5000 (multiplicity 2)
Sb 0.1611 0.0000 0.8324 (multiplicity 4)
Te 0.0000 0.5000 0.0000 (multiplicity 2)
P 0.1690 0.0000 0.3355 (multiplicity 4)

# LiZn2P

Crystalline LiZn2P at its relaxed geometry (GGA-PBE, the Alexandria database).

ΔE_f: -0.096 eV per atom

Lattice parameters (Å, degrees): 8.8066 2.7412 5.9833 90.00 113.17 90.00
Space group Cm (No. 8)
Symmetry-distinct sites (fractional):
Li 0.0000 0.0000 0.0000 (multiplicity 2)
Zn 0.1920 0.0000 0.6955 (multiplicity 2)
Zn 0.4041 0.0000 0.4840 (multiplicity 2)
P 0.2536 0.5000 0.0978 (multiplicity 2)

Number 1: total DFT energy (no corrections) -4.460 eV per atom. Number 2: total DFT energy (no corrections) -3.847 eV per atom. Number 3: total DFT energy (no corrections) -6.384 eV per atom. Number 4: total DFT energy (no corrections) -2.564 eV per atom.